A plane-wave DFT calculation with GGA+U was carried out for a geometry-optimized NaTaMoO6 structure.

Calculated values
Its space group is No. 102. The volume comes out at 12.49 Å³/atom. The total moment comes out at 0.00 μB per formula unit. The total energy comes out at -7.66 eV per atom.

Cell: 4.8950 4.8950 9.3862 Å, 90.00 90.00 90.00°
With the nearest neighbours (Å) after each atom.
Atoms (fractional coordinates):
O  0.3253  0.3253  0.0036  1 Mo 1.96, 1 Ta 2.01
O  0.7833  0.2167  0.8017  1 Mo 1.96, 1 Ta 1.98
O  0.6747  0.6747  0.0036  1 Mo 1.96, 1 Ta 2.01
O  0.8253  0.1747  0.5036  1 Mo 1.96, 1 Ta 2.01
O  0.2237  0.7763  0.1946  1 Mo 1.93, 1 Ta 2.02
O  0.2763  0.2763  0.6946  1 Mo 1.93, 1 Ta 2.02
O  0.7167  0.7167  0.3017  1 Mo 1.96, 1 Ta 1.98
O  0.7237  0.7237  0.6946  1 Mo 1.93, 1 Ta 2.02
O  0.7763  0.2237  0.1946  1 Mo 1.93, 1 Ta 2.02
O  0.2167  0.7833  0.8017  1 Mo 1.96, 1 Ta 1.98
O  0.2833  0.2833  0.3017  1 Mo 1.96, 1 Ta 1.98
O  0.1747  0.8253  0.5036  1 Mo 1.96, 1 Ta 2.01
Na  0.0000  0.0000  0.9993  6 O 2.25-2.40
Na  0.5000  0.5000  0.4993  6 O 2.25-2.40
Mo  0.5000  0.5000  0.1681  6 O 1.93-1.96
Mo  0.0000  0.0000  0.6681  6 O 1.93-1.96
Ta  0.0000  0.0000  0.3326  6 O 1.98-2.02
Ta  0.5000  0.5000  0.8326  6 O 1.98-2.02